## Dy4YIr2 (GGA-PBE)

Data for a geometry-optimized Dy4YIr2 structure.

a b c (Å): 7.861 6.340 7.876
angles (deg): 90.00 112.53 90.00
Fractional coordinates of all 14 atoms:
1 Dy 0.121 0.250 0.484
2 Dy 0.166 0.750 0.251
3 Dy 0.263 0.503 0.915
4 Dy 0.263 0.997 0.915
5 Dy 0.737 0.003 0.085
6 Dy 0.737 0.497 0.085
7 Dy 0.834 0.250 0.749
8 Dy 0.879 0.750 0.516
9 Y 0.474 0.250 0.343
10 Y 0.526 0.750 0.657
11 Ir 0.089 0.250 0.126
12 Ir 0.486 0.250 0.759
13 Ir 0.514 0.750 0.241
14 Ir 0.911 0.750 0.874

Values from the calculation:
Volume   363 Å³/cell
Crystal system   monoclinic
DOS at the Fermi energy   15.10 states/eV per cell
Raw total energy   -92.67 eV per cell

=====

## DyY3Ir (GGA-PBE)

Data for a geometry-optimized DyY3Ir structure.

a b c (Å): 5.439 5.439 5.439
angles (deg): 90.00 90.00 90.00
Fractional coordinates of all 5 atoms:
1 Dy 0.000 0.000 0.000
2 Y 0.000 0.500 0.500
3 Y 0.500 0.000 0.500
4 Y 0.500 0.500 0.000
5 Ir 0.500 0.500 0.500

Values from the calculation:
Volume   161 Å³/cell
Crystal system   cubic
ΔE to the lowest computed polymorph   8.5 kJ per mole of atoms
DOS at the Fermi energy   7.00 states/eV per cell

=====

## Dy2Y3Ir2 (GGA-PBE)

Data for a geometry-optimized Dy2Y3Ir2 structure.

a b c (Å): 6.347 6.347 8.878
angles (deg): 114.56 114.56 35.14
Fractional coordinates of all 7 atoms:
1 Dy 0.169 0.169 0.308
2 Dy 0.831 0.831 0.692
3 Y 0.382 0.382 0.070
4 Y 0.500 0.500 0.500
5 Y 0.618 0.618 0.930
6 Ir 0.179 0.179 0.736
7 Ir 0.821 0.821 0.264

Values from the calculation:
Volume   185 Å³/cell
Crystal system   monoclinic
DOS at the Fermi energy   6.85 states/eV per cell
Raw total energy   -50.60 eV per cell

=====

## DyYIr (GGA-PBE)

Data for a geometry-optimized DyYIr structure.

a b c (Å): 6.131 6.131 7.974
angles (deg): 120.50 120.50 37.08
Fractional coordinates of all 6 atoms:
1 Dy 0.000 0.000 0.000
2 Dy 0.592 0.592 0.703
3 Y 0.345 0.345 0.162
4 Y 0.756 0.756 0.458
5 Ir 0.039 0.039 0.396
6 Ir 0.308 0.308 0.768

Values from the calculation:
Volume   153 Å³/cell
Crystal system   monoclinic
ΔE to the lowest computed polymorph   2.4 kJ per mole of atoms
DOS at the Fermi energy   5.93 states/eV per cell